Record 1
{"formula": "Zr2IrRu", "functional": "SCAN", "state": "single point on PBEsol structure", "ef_ev_per_fu": -2.29, "volume_a3_per_atom": 17.95, "magmom_total_mub_per_fu": 0.00, "lattice_angstrom": [[-1.9173, 1.2360, -2.1442], [2.7559, -1.0839, -3.0890], [-2.4574, -4.7339, -0.5314]], "species": ["Ru", "Zr", "Zr", "Ir"], "fractional_positions": [[0.5000, 0.5000, 0.8175], [0.0000, 0.0000, 0.9407], [0.5000, 0.5000, 0.3021], [0.0000, 0.0000, 0.4397]]}

---

Record 2
{"formula": "Zr2IrRu", "functional": "SCAN", "state": "single point on PBEsol structure", "ef_ev_per_fu": -2.63, "volume_a3_per_atom": 17.21, "magmom_total_mub_per_fu": 0.00, "lattice_angstrom": [[-2.8679, -0.4176, -1.7879], [-1.0722, -3.3016, 2.4909], [-0.2881, 4.8064, 2.5825]], "species": ["Zr", "Zr", "Ru", "Ir"], "fractional_positions": [[0.7532, 0.2532, 0.5065], [0.9949, 0.9949, 0.9898], [0.2577, 0.7577, 0.5154], [0.4942, 0.4942, 0.9883]]}

---

Record 3
{"formula": "ZrIr3Ru", "functional": "SCAN", "state": "single point on PBEsol structure", "ef_ev_per_fu": 10.52, "volume_a3_per_atom": 20.85, "magmom_total_mub_per_fu": 4.29, "lattice_angstrom": [[-1.8635, 4.1209, 1.3019], [-3.8519, -2.2266, 1.5344], [1.9595, -0.4580, 4.2544]], "species": ["Ir", "Ir", "Ir", "Zr", "Ru"], "fractional_positions": [[0.0000, 0.5000, 0.0000], [0.5000, 0.0000, 0.0000], [0.0000, 0.0000, 0.5000], [0.0000, 0.0000, 0.0000], [0.5000, 0.5000, 0.5000]]}

---

Record 4
{"formula": "ZrIrRu3", "functional": "SCAN", "state": "single point on PBEsol structure", "ef_ev_per_fu": 6.18, "volume_a3_per_atom": 19.44, "magmom_total_mub_per_fu": 0.00, "lattice_angstrom": [[4.5979, 0.0000, 0.0000], [0.0000, 4.5979, 0.0000], [0.0000, 0.0000, 4.5979]], "species": ["Ru", "Ru", "Ru", "Ir", "Zr"], "fractional_positions": [[0.0000, 0.5000, 0.0000], [0.5000, 0.0000, 0.0000], [0.0000, 0.0000, 0.5000], [0.0000, 0.0000, 0.0000], [0.5000, 0.5000, 0.5000]]}

---

Record 5
{"formula": "Zr2IrRu", "functional": "SCAN", "state": "single point on PBEsol structure", "ef_ev_per_fu": 0.53, "volume_a3_per_atom": 17.53, "magmom_total_mub_per_fu": 0.00, "lattice_angstrom": [[-2.2136, -1.9015, -0.7406], [0.5147, -2.9660, -0.0425], [-2.9735, -2.1631, 8.3219]], "species": ["Ir", "Ru", "Zr", "Zr"], "fractional_positions": [[0.5025, 0.5025, 0.4924], [0.2501, 0.2501, 0.2498], [0.7553, 0.7553, 0.7341], [0.9921, 0.9921, 0.0237]]}

---

Record 6
{"formula": "Ir3S8", "functional": "SCAN", "state": "single point on PBEsol structure", "formation_energy_uncorrected_kj_per_mol_atoms": -40.7, "volume_a3_per_atom": 16.18, "magmom_total_mub_per_fu": 0.00, "lattice_angstrom": [[-2.2588, 5.1503, 0.1050], [-3.3244, -1.5012, 4.2818], [3.9087, 1.6833, 3.6780]], "species": ["S", "S", "S", "S", "S", "S", "S", "S", "Ir", "Ir", "Ir"], "fractional_positions": [[0.6259, 0.6259, 0.6259], [0.8889, 0.1098, 0.3900], [0.8902, 0.6100, 0.1111], [0.3741, 0.3741, 0.3741], [0.1111, 0.8902, 0.6100], [0.6100, 0.1111, 0.8902], [0.1098, 0.3900, 0.8889], [0.3900, 0.8889, 0.1098], [0.0000, 0.5000, 0.5000], [0.5000, 0.5000, 0.0000], [0.5000, 0.0000, 0.5000]]}

---

Record 7
{"formula": "SbIrS2", "functional": "SCAN", "state": "single point on PBEsol structure", "formation_energy_uncorrected_kj_per_mol_atoms": 8.2, "volume_a3_per_atom": 17.91, "magmom_total_mub_per_fu": 0.00, "lattice_angstrom": [[6.9617, 0.0000, 0.0000], [-3.4809, 4.2897, 1.5655], [0.0000, 3.4403, 6.0523]], "species": ["Ir", "Ir", "Sb", "Sb", "S", "S", "S", "S"], "fractional_positions": [[0.7500, 0.5000, 0.7500], [0.0000, 0.0000, 0.0000], [0.2500, 0.5000, 0.2500], [0.5000, 0.0000, 0.5000], [0.6837, 0.7500, 0.3750], [0.8750, 0.2500, 0.6837], [0.3750, 0.2500, 0.0663], [0.0663, 0.7500, 0.8750]]}

---

Record 8
{"formula": "Sc3IrS", "functional": "SCAN", "state": "single point on PBEsol structure", "formation_energy_uncorrected_kj_per_mol_atoms": -48.4, "volume_a3_per_atom": 24.41, "magmom_total_mub_per_fu": 0.00, "lattice_angstrom": [[-3.5442, -3.2153, -1.3047], [3.4605, -3.4129, -0.9895], [-0.2563, -1.6173, 4.6820]], "species": ["Sc", "Sc", "Sc", "S", "Ir"], "fractional_positions": [[0.5000, 0.0000, 0.0000], [0.0000, 0.5000, 0.0000], [0.0000, 0.0000, 0.5000], [0.5000, 0.5000, 0.5000], [0.0000, 0.0000, 0.0000]]}